(1)
Material: CdReAs2
Method: DFT, GGA-PBE
State: optimized geometry

It has space group R-3m (No. 166, hexagonal axes), with a = 3.1259 Å, b = 3.1259 Å, c = 30.3333 Å, α = 90.00°, β = 90.00° and γ = 120.00°. The distinct sites, in fractional coordinates, are Cd at (0.0000, 0.0000, 0.0000), Re at (0.0000, 0.0000, 0.5000) and As at (0.0000, 0.0000, 0.2258).

As for the total energy: -5.592 eV per atom. For the formation energy, the calculation gives 0.073 eV/atom. As for the calculated density: 8.7 g/cm³.


(2)
Material: CdReAs2
Method: DFT, GGA-PBE
State: optimized geometry

It has space group P4/mmm (No. 123), with a = 4.600 Å, b = 4.600 Å, c = 3.306 Å, α = 90.00°, β = 90.00° and γ = 90.00°. The distinct sites, in fractional coordinates, are Cd at (0.000, 0.000, 0.000), Re at (0.500, 0.500, 0.000) and As at (0.000, 0.500, 0.500).

As for the total energy: -4.999 eV per atom. For the formation energy, the calculation gives 0.667 eV/atom. As for the calculated density: 10.6 g/cm³.